Entry 1:
# TaInOs2

Crystalline TaInOs2 at its relaxed geometry (PBEsol, Alexandria via LeMat-Bulk).

```
data_TaInOs2
_chemical_formula_sum 'Ta2 In2 Os4'
_cell_length_a 8.9491
_cell_length_b 2.9587
_cell_length_c 5.0498
_cell_angle_alpha 90.00
_cell_angle_beta 102.24
_cell_angle_gamma 90.00
_space_group_name_H-M_alt 'C 1 2/m 1'
_space_group_IT_number 12
_space_group_name_Hall '-C 2y'
loop_
_atom_site_label
_atom_site_fract_x
_atom_site_fract_y
_atom_site_fract_z
Ta1 0.0000 0.0000 0.0000
In1 0.0000 0.5000 0.5000
Os1 0.2395 0.5000 0.2277
```

## Properties
D(E_F) ... 2.609 states/eV/f.u.
E_tot ... -9.782 eV/atom
Magnetic moment ... 0.00 μB/cell

=====

Entry 2:
# Ta2InOs

Crystalline Ta2InOs at its relaxed geometry (PBEsol, Alexandria via LeMat-Bulk).

```
data_Ta2InOs
_chemical_formula_sum 'Ta2 In1 Os1'
_cell_length_a 3.0993
_cell_length_b 3.7030
_cell_length_c 6.0374
_cell_angle_alpha 90.00
_cell_angle_beta 90.00
_cell_angle_gamma 90.00
_space_group_name_H-M_alt 'P m m 2'
_space_group_IT_number 25
_space_group_name_Hall 'P 2 -2'
loop_
_atom_site_label
_atom_site_fract_x
_atom_site_fract_y
_atom_site_fract_z
Ta1 0.0000 0.0000 0.0000
Ta2 0.5000 0.5000 0.2478
In1 0.0000 0.0000 0.5188
Os1 0.5000 0.5000 0.7851
```

## Properties
D(E_F) ... 2.244 states/eV/f.u.
E_tot ... -9.976 eV/atom
Magnetic moment ... 0.00 μB/cell

=====

Entry 3:
# TaInOs2

Crystalline TaInOs2 at its relaxed geometry (PBEsol, Alexandria via LeMat-Bulk).

```
data_TaInOs2
_chemical_formula_sum 'Ta1 In1 Os2'
_cell_length_a 3.1917
_cell_length_b 3.1917
_cell_length_c 6.3536
_cell_angle_alpha 90.00
_cell_angle_beta 90.00
_cell_angle_gamma 90.00
_space_group_name_H-M_alt 'P 4/m m m'
_space_group_IT_number 123
_space_group_name_Hall '-P 4 2'
loop_
_atom_site_label
_atom_site_fract_x
_atom_site_fract_y
_atom_site_fract_z
Ta1 0.0000 0.0000 0.0000
In1 0.0000 0.0000 0.5000
Os1 0.5000 0.5000 0.2352
```

## Properties
D(E_F) ... 0.608 states/eV/f.u.
E_tot ... -10.053 eV/atom
Magnetic moment ... 0.00 μB/cell

=====

Entry 4:
# TaInOs

Crystalline TaInOs at its relaxed geometry (PBEsol, Alexandria via LeMat-Bulk).

```
data_TaInOs
_chemical_formula_sum 'Ta4 In4 Os4'
_cell_length_a 3.0332
_cell_length_b 4.9080
_cell_length_c 14.0405
_cell_angle_alpha 90.00
_cell_angle_beta 90.00
_cell_angle_gamma 90.00
_space_group_name_H-M_alt 'F m m 2'
_space_group_IT_number 42
_space_group_name_Hall 'F 2 -2'
loop_
_atom_site_label
_atom_site_fract_x
_atom_site_fract_y
_atom_site_fract_z
Ta1 0.0000 0.0000 0.0000
In1 0.0000 0.0000 0.6803
Os1 0.0000 0.0000 0.3501
```

## Properties
D(E_F) ... 2.774 states/eV/f.u.
E_tot ... -8.968 eV/atom
Magnetic moment ... 0.00 μB/cell

=====

Entry 5:
# Ta2InOs

Crystalline Ta2InOs at its relaxed geometry (PBEsol, Alexandria via LeMat-Bulk).

```
data_Ta2InOs
_chemical_formula_sum 'Ta2 In1 Os1'
_cell_length_a 2.9655
_cell_length_b 4.0148
_cell_length_c 5.7290
_cell_angle_alpha 90.00
_cell_angle_beta 90.00
_cell_angle_gamma 90.00
_space_group_name_H-M_alt 'P m m m'
_space_group_IT_number 47
_space_group_name_Hall '-P 2 2'
loop_
_atom_site_label
_atom_site_fract_x
_atom_site_fract_y
_atom_site_fract_z
Ta1 0.0000 0.0000 0.2297
In1 0.5000 0.5000 0.5000
Os1 0.5000 0.5000 0.0000
```

## Properties
D(E_F) ... 2.434 states/eV/f.u.
E_tot ... -10.066 eV/atom
Magnetic moment ... 0.00 μB/cell

=====

Entry 6:
# In2Tc2Os

Crystalline In2Tc2Os at its relaxed geometry (PBEsol, Alexandria via LeMat-Bulk).

```
data_In2Tc2Os
_chemical_formula_sum 'In4 Tc4 Os2'
_cell_length_a 3.3697
_cell_length_b 3.3697
_cell_length_c 15.8686
_cell_angle_alpha 90.00
_cell_angle_beta 90.00
_cell_angle_gamma 90.00
_space_group_name_H-M_alt 'I 4/m m m'
_space_group_IT_number 139
_space_group_name_Hall '-I 4 2'
loop_
_atom_site_label
_atom_site_fract_x
_atom_site_fract_y
_atom_site_fract_z
In1 0.0000 0.0000 0.0970
Tc1 0.0000 0.5000 0.2500
Os1 0.0000 0.0000 0.5000
```

## Properties
D(E_F) ... 4.631 states/eV/f.u.
E_tot ... -7.323 eV/atom
Magnetic moment ... 0.00 μB/cell

=====

Entry 7:
# In2TcOs

Crystalline In2TcOs at its relaxed geometry (PBEsol, Alexandria via LeMat-Bulk).

```
data_In2TcOs
_chemical_formula_sum 'In8 Tc4 Os4'
_cell_length_a 6.4527
_cell_length_b 6.4527
_cell_length_c 6.4527
_cell_angle_alpha 90.00
_cell_angle_beta 90.00
_cell_angle_gamma 90.00
_space_group_name_H-M_alt 'F -4 3 m'
_space_group_IT_number 216
_space_group_name_Hall 'F -4 2 3'
loop_
_atom_site_label
_atom_site_fract_x
_atom_site_fract_y
_atom_site_fract_z
In1 0.0000 0.0000 0.0000
In2 0.2500 0.2500 0.2500
Tc1 0.0000 0.0000 0.5000
Os1 0.2500 0.2500 0.7500
```

## Properties
D(E_F) ... 5.685 states/eV/f.u.
E_tot ... -6.720 eV/atom
Magnetic moment ... 0.01 μB/cell

=====

Entry 8:
# InTcOs

Crystalline InTcOs at its relaxed geometry (PBEsol, Alexandria via LeMat-Bulk).

```
data_InTcOs
_chemical_formula_sum 'In1 Tc1 Os1'
_cell_length_a 2.8343
_cell_length_b 2.8343
_cell_length_c 6.8252
_cell_angle_alpha 90.00
_cell_angle_beta 90.00
_cell_angle_gamma 120.00
_space_group_name_H-M_alt 'P 3 m 1'
_space_group_IT_number 156
_space_group_name_Hall 'P 3 -2"'
loop_
_atom_site_label
_atom_site_fract_x
_atom_site_fract_y
_atom_site_fract_z
In1 0.0000 0.0000 0.0000
Tc1 0.6667 0.3333 0.3517
Os1 0.3333 0.6667 0.6445
```

## Properties
D(E_F) ... 3.282 states/eV/f.u.
E_tot ... -8.541 eV/atom
Magnetic moment ... 0.00 μB/cell

=====

Entry 9:
# InTe2Os

Crystalline InTe2Os at its relaxed geometry (PBEsol, Alexandria via LeMat-Bulk).

```
data_InTe2Os
_chemical_formula_sum 'In1 Te2 Os1'
_cell_length_a 3.3317
_cell_length_b 4.9703
_cell_length_c 5.1343
_cell_angle_alpha 90.00
_cell_angle_beta 90.00
_cell_angle_gamma 90.00
_space_group_name_H-M_alt 'P m m m'
_space_group_IT_number 47
_space_group_name_Hall '-P 2 2'
loop_
_atom_site_label
_atom_site_fract_x
_atom_site_fract_y
_atom_site_fract_z
In1 0.0000 0.0000 0.0000
Te1 0.0000 0.5000 0.5000
Te2 0.5000 0.5000 0.0000
Os1 0.5000 0.0000 0.5000
```

## Properties
D(E_F) ... 3.924 states/eV/f.u.
E_tot ... -4.699 eV/atom
Magnetic moment ... 0.00 μB/cell

=====

Entry 10:
# InTeOs

Crystalline InTeOs at its relaxed geometry (PBEsol, Alexandria via LeMat-Bulk).

```
data_InTeOs
_chemical_formula_sum 'In4 Te4 Os4'
_cell_length_a 3.1228
_cell_length_b 5.2519
_cell_length_c 15.2797
_cell_angle_alpha 90.00
_cell_angle_beta 90.00
_cell_angle_gamma 90.00
_space_group_name_H-M_alt 'F m m 2'
_space_group_IT_number 42
_space_group_name_Hall 'F 2 -2'
loop_
_atom_site_label
_atom_site_fract_x
_atom_site_fract_y
_atom_site_fract_z
In1 0.0000 0.0000 0.0000
Te1 0.0000 0.0000 0.2904
Os1 0.0000 0.0000 0.6515
```

## Properties
D(E_F) ... 2.472 states/eV/f.u.
E_tot ... -5.555 eV/atom
Magnetic moment ... 0.00 μB/cell

=====

Entry 11:
# InTe4Os

Crystalline InTe4Os at its relaxed geometry (PBEsol, Alexandria via LeMat-Bulk).

```
data_InTe4Os
_chemical_formula_sum 'In4 Te16 Os4'
_cell_length_a 8.6910
_cell_length_b 8.6910
_cell_length_c 8.6910
_cell_angle_alpha 90.00
_cell_angle_beta 90.00
_cell_angle_gamma 90.00
_space_group_name_H-M_alt 'F -4 3 m'
_space_group_IT_number 216
_space_group_name_Hall 'F -4 2 3'
loop_
_atom_site_label
_atom_site_fract_x
_atom_site_fract_y
_atom_site_fract_z
In1 0.0000 0.0000 0.0000
Te1 0.1235 0.1235 0.6235
Os1 0.2500 0.2500 0.2500
```

## Properties
D(E_F) ... 7.218 states/eV/f.u.
E_tot ... -3.624 eV/atom
Magnetic moment ... 11.57 μB/cell

=====

Entry 12:
# Tl2InOs

Crystalline Tl2InOs at its relaxed geometry (PBEsol, Alexandria via LeMat-Bulk).

```
data_Tl2InOs
_chemical_formula_sum 'Tl6 In3 Os3'
_cell_length_a 3.0976
_cell_length_b 3.0976
_cell_length_c 31.5297
_cell_angle_alpha 90.00
_cell_angle_beta 90.00
_cell_angle_gamma 120.00
_space_group_name_H-M_alt 'R -3 m'
_space_group_IT_number 166
_space_group_name_Hall '-R 3 2"'
loop_
_atom_site_label
_atom_site_fract_x
_atom_site_fract_y
_atom_site_fract_z
Tl1 0.0000 0.0000 0.2384
In1 0.0000 0.0000 0.0000
Os1 0.0000 0.0000 0.5000
```

## Properties
D(E_F) ... 3.298 states/eV/f.u.
ΔE to the lowest computed polymorph ... 0 meV/atom
Magnetic moment ... 0.01 μB/cell

=====

Entry 13:
# Tl2InOs

Crystalline Tl2InOs at its relaxed geometry (PBEsol, Alexandria via LeMat-Bulk).

```
data_Tl2InOs
_chemical_formula_sum 'Tl4 In2 Os2'
_cell_length_a 5.8511
_cell_length_b 8.2121
_cell_length_c 3.4198
_cell_angle_alpha 90.00
_cell_angle_beta 90.00
_cell_angle_gamma 90.00
_space_group_name_H-M_alt 'C m m m'
_space_group_IT_number 65
_space_group_name_Hall '-C 2 2'
loop_
_atom_site_label
_atom_site_fract_x
_atom_site_fract_y
_atom_site_fract_z
Tl1 0.2500 0.2500 0.0000
In1 0.0000 0.0000 0.5000
Os1 0.0000 0.5000 0.5000
```

## Properties
D(E_F) ... 2.770 states/eV/f.u.
ΔE to the lowest computed polymorph ... 174 meV/atom
Magnetic moment ... 0.00 μB/cell

=====

Entry 14:
# InOs2W

Crystalline InOs2W at its relaxed geometry (PBEsol, Alexandria via LeMat-Bulk).

```
data_InOs2W
_chemical_formula_sum 'In1 Os2 W1'
_cell_length_a 4.4899
_cell_length_b 4.4899
_cell_length_c 3.0954
_cell_angle_alpha 90.00
_cell_angle_beta 90.00
_cell_angle_gamma 90.00
_space_group_name_H-M_alt 'P 4/m m m'
_space_group_IT_number 123
_space_group_name_Hall '-P 4 2'
loop_
_atom_site_label
_atom_site_fract_x
_atom_site_fract_y
_atom_site_fract_z
In1 0.0000 0.0000 0.0000
Os1 0.0000 0.5000 0.5000
W1 0.5000 0.5000 0.0000
```

## Properties
D(E_F) ... 2.094 states/eV/f.u.
E_tot ... -9.848 eV/atom
Magnetic moment ... 0.00 μB/cell

=====

Entry 15:
# InOsW2

Crystalline InOsW2 at its relaxed geometry (PBEsol, Alexandria via LeMat-Bulk).

```
data_InOsW2
_chemical_formula_sum 'In1 Os1 W2'
_cell_length_a 3.8969
_cell_length_b 3.8969
_cell_length_c 4.2242
_cell_angle_alpha 90.00
_cell_angle_beta 90.00
_cell_angle_gamma 90.00
_space_group_name_H-M_alt 'P 4/m m m'
_space_group_IT_number 123
_space_group_name_Hall '-P 4 2'
loop_
_atom_site_label
_atom_site_fract_x
_atom_site_fract_y
_atom_site_fract_z
In1 0.0000 0.0000 0.0000
Os1 0.5000 0.5000 0.0000
W1 0.0000 0.5000 0.5000
```

## Properties
D(E_F) ... 3.856 states/eV/f.u.
E_tot ... -10.153 eV/atom
Magnetic moment ... 0.00 μB/cell